Computed, not measured: crystalline K3Li6Tl20 at its relaxed geometry at the PBE level of DFT.

```
data_K3Li6Tl20
_space_group_name_H-M_alt 'P 1'
_space_group_IT_number 1
_cell_length_a 10.492
_cell_length_b 10.492
_cell_length_c 10.492
_cell_angle_alpha 60.00
_cell_angle_beta 60.00
_cell_angle_gamma 60.00
loop_
_space_group_symop_operation_xyz
'x,y,z'
loop_
_atom_site_label
_atom_site_fract_x
_atom_site_fract_y
_atom_site_fract_z
K1 0.000 0.000 0.000
K2 0.250 0.250 0.250
K3 0.750 0.750 0.750
Li1 0.266 0.266 0.734
Li2 0.266 0.734 0.266
Li3 0.266 0.734 0.734
Li4 0.734 0.266 0.266
Li5 0.734 0.266 0.734
Li6 0.734 0.734 0.266
Tl1 0.000 0.000 0.345
Tl2 0.000 0.000 0.655
Tl3 0.000 0.345 0.000
Tl4 0.000 0.345 0.655
Tl5 0.000 0.655 0.000
Tl6 0.000 0.655 0.345
Tl7 0.154 0.615 0.615
Tl8 0.345 0.000 0.000
Tl9 0.345 0.000 0.655
Tl10 0.345 0.655 0.000
Tl11 0.385 0.385 0.385
Tl12 0.385 0.385 0.846
Tl13 0.385 0.846 0.385
Tl14 0.615 0.154 0.615
Tl15 0.615 0.615 0.154
Tl16 0.615 0.615 0.615
Tl17 0.655 0.000 0.000
Tl18 0.655 0.000 0.345
Tl19 0.655 0.345 0.000
Tl20 0.846 0.385 0.385
```

Its space group is No. 225. As for the formation energy: -0.079 eV/atom.

---

Computed, not measured: crystalline KLi6Tl6 at its relaxed geometry at the PBE level of DFT.

```
data_KLi6Tl6
_space_group_name_H-M_alt 'P 1'
_space_group_IT_number 1
_cell_length_a 7.790
_cell_length_b 7.790
_cell_length_c 7.790
_cell_angle_alpha 135.79
_cell_angle_beta 99.49
_cell_angle_gamma 96.80
loop_
_space_group_symop_operation_xyz
'x,y,z'
loop_
_atom_site_label
_atom_site_fract_x
_atom_site_fract_y
_atom_site_fract_z
K1 0.000 0.000 0.000
Li1 0.000 0.000 0.500
Li2 0.000 0.500 0.000
Li3 0.235 0.500 0.735
Li4 0.500 0.000 0.000
Li5 0.500 0.500 0.500
Li6 0.765 0.500 0.265
Tl1 0.198 0.698 0.500
Tl2 0.346 0.000 0.346
Tl3 0.348 0.348 0.000
Tl4 0.652 0.652 0.000
Tl5 0.654 0.000 0.654
Tl6 0.802 0.302 0.500
```

Its space group is No. 71. As for the formation energy: -0.174 eV/atom.

---

| no. | calculated volume (Å³/atom) | size of the total moment (μB/atom) | D(E_F) (states/eV per cell) |
| --- | --- | --- | --- |
| 1 | 28.2 | 0.000 | 18.07 |
| 2 | 23.5 | 0.000 | 3.14 |